Record 1
# U3Mn2Se8, relaxed, DFT PBE
data_U3Mn2Se8
_cell_length_a 13.169
_cell_length_b 8.578
_cell_length_c 7.102
_cell_angle_alpha 90.00
_cell_angle_beta 91.53
_cell_angle_gamma 90.00
_space_group_name_H-M_alt 'C 1 2/m 1'
_space_group_IT_number 12
_space_group_name_Hall '-C 2y'
loop_
_atom_site_label
_atom_site_type_symbol
_atom_site_fract_x
_atom_site_fract_y
_atom_site_fract_z
U1 U 0.000 0.000 0.000
U2 U 0.000 0.255 0.500
Mn1 Mn 0.202 0.000 0.346
Se1 Se 0.112 0.500 0.672
Se2 Se 0.121 0.000 0.666
Se3 Se 0.124 0.227 0.183
# - N(E_F): 30.9 states/eV per cell
# - ΔE_f (raw): -888 meV per atom
# - Calculated volume: 802 Å³/cell
# - DFT total energy: -7.05 eV/atom

Record 2
# UMnSe3, relaxed, DFT PBE
data_UMnSe3
_cell_length_a 7.376
_cell_length_b 3.886
_cell_length_c 8.093
_cell_angle_alpha 90.00
_cell_angle_beta 94.58
_cell_angle_gamma 90.00
_space_group_name_H-M_alt 'P 1 21/m 1'
_space_group_IT_number 11
_space_group_name_Hall '-P 2yb'
loop_
_atom_site_label
_atom_site_type_symbol
_atom_site_fract_x
_atom_site_fract_y
_atom_site_fract_z
U1 U 0.119 0.250 0.279
Mn1 Mn 0.360 0.750 0.835
Se1 Se 0.123 0.250 0.890
Se2 Se 0.213 0.750 0.535
Se3 Se 0.396 0.750 0.166
# - N(E_F): 11.6 states/eV per cell
# - ΔE_f (raw): -850 meV per atom
# - Calculated volume: 231 Å³/cell
# - DFT total energy: -7.03 eV/atom

Record 3
# UMn2Se6, relaxed, DFT PBE
data_UMn2Se6
_cell_length_a 12.890
_cell_length_b 4.828
_cell_length_c 8.553
_cell_angle_alpha 90.00
_cell_angle_beta 124.12
_cell_angle_gamma 90.00
_space_group_name_H-M_alt 'C 1 2/m 1'
_space_group_IT_number 12
_space_group_name_Hall '-C 2y'
loop_
_atom_site_label
_atom_site_type_symbol
_atom_site_fract_x
_atom_site_fract_y
_atom_site_fract_z
U1 U 0.000 0.000 0.000
Mn1 Mn 0.176 0.000 0.594
Se1 Se 0.035 0.000 0.708
Se2 Se 0.145 0.500 0.070
Se3 Se 0.244 0.500 0.621
# - N(E_F): 12.7 states/eV per cell
# - ΔE_f (raw): -585 meV per atom
# - Calculated volume: 441 Å³/cell
# - DFT total energy: -6.20 eV/atom

Record 4
# UMnSe3, relaxed, DFT PBE
data_UMnSe3
_cell_length_a 6.868
_cell_length_b 12.287
_cell_length_c 6.674
_cell_angle_alpha 90.00
_cell_angle_beta 110.48
_cell_angle_gamma 90.00
_space_group_name_H-M_alt 'C 1 2/m 1'
_space_group_IT_number 12
_space_group_name_Hall '-C 2y'
loop_
_atom_site_label
_atom_site_type_symbol
_atom_site_fract_x
_atom_site_fract_y
_atom_site_fract_z
U1 U 0.000 0.158 0.000
Mn1 Mn 0.000 0.332 0.500
Se1 Se 0.227 0.500 0.738
Se2 Se 0.245 0.179 0.738
# - N(E_F): 25.5 states/eV per cell
# - ΔE_f (raw): -803 meV per atom
# - Calculated volume: 528 Å³/cell
# - DFT total energy: -6.99 eV/atom

Record 5
# UMn2Se4, relaxed, DFT PBE
data_UMn2Se4
_cell_length_a 3.869
_cell_length_b 12.640
_cell_length_c 12.739
_cell_angle_alpha 90.00
_cell_angle_beta 90.00
_cell_angle_gamma 90.00
_space_group_name_H-M_alt 'C m c m'
_space_group_IT_number 63
_space_group_name_Hall '-C 2c 2'
loop_
_atom_site_label
_atom_site_type_symbol
_atom_site_fract_x
_atom_site_fract_y
_atom_site_fract_z
U1 U 0.000 0.119 0.250
Mn1 Mn 0.000 0.370 0.065
Se1 Se 0.000 0.000 0.000
Se2 Se 0.000 0.274 0.616
Se3 Se 0.000 0.453 0.250
# - N(E_F): 34.6 states/eV per cell
# - ΔE_f (raw): -670 meV per atom
# - Calculated volume: 623 Å³/cell
# - DFT total energy: -6.89 eV/atom

Record 6
# U3Mn5Se12, relaxed, DFT PBE
data_U3Mn5Se12
_cell_length_a 15.756
_cell_length_b 15.756
_cell_length_c 15.756
_cell_angle_alpha 90.00
_cell_angle_beta 90.00
_cell_angle_gamma 90.00
_space_group_name_H-M_alt 'I a -3 d'
_space_group_IT_number 230
_space_group_name_Hall '-I 4bd 2c 3'
loop_
_atom_site_label
_atom_site_type_symbol
_atom_site_fract_x
_atom_site_fract_y
_atom_site_fract_z
U1 U 0.000 0.250 0.125
Mn1 Mn 0.000 0.000 0.000
Mn2 Mn 0.000 0.250 0.375
Se1 Se 0.024 0.064 0.650
# - N(E_F): 232.7 states/eV per cell
# - ΔE_f (raw): -676 meV per atom
# - Calculated volume: 3911 Å³/cell
# - DFT total energy: -6.75 eV/atom

Record 7
# U6Mn3Se14, relaxed, DFT PBE
data_U6Mn3Se14
_cell_length_a 10.2156
_cell_length_b 10.2156
_cell_length_c 6.0817
_cell_angle_alpha 90.00
_cell_angle_beta 90.00
_cell_angle_gamma 120.00
_space_group_name_H-M_alt 'P 3'
_space_group_IT_number 143
_space_group_name_Hall 'P 3'
loop_
_atom_site_label
_atom_site_type_symbol
_atom_site_fract_x
_atom_site_fract_y
_atom_site_fract_z
U1 U 0.0375 0.5605 0.0000
U2 U 0.2965 0.1102 0.5008
Mn1 Mn 0.0000 0.0000 0.8984
Mn2 Mn 0.3333 0.6667 0.3993
Mn3 Mn 0.6667 0.3333 0.7740
Se1 Se 0.0000 0.0000 0.2942
Se2 Se 0.1004 0.8460 0.7521
Se3 Se 0.1767 0.4118 0.2543
Se4 Se 0.3333 0.6667 0.7958
Se5 Se 0.4180 0.1837 0.0194
Se6 Se 0.5199 0.4357 0.5355
# - N(E_F): 44.7 states/eV per cell
# - ΔE_f (raw): -941 meV per atom
# - Calculated volume: 550 Å³/cell
# - DFT total energy: -7.20 eV/atom

Record 8
# UMnSe3, relaxed, DFT PBE
data_UMnSe3
_cell_length_a 3.874
_cell_length_b 12.487
_cell_length_c 9.329
_cell_angle_alpha 90.00
_cell_angle_beta 90.00
_cell_angle_gamma 90.00
_space_group_name_H-M_alt 'C m c m'
_space_group_IT_number 63
_space_group_name_Hall '-C 2c 2'
loop_
_atom_site_label
_atom_site_type_symbol
_atom_site_fract_x
_atom_site_fract_y
_atom_site_fract_z
U1 U 0.000 0.245 0.250
Mn1 Mn 0.000 0.000 0.000
Se1 Se 0.000 0.086 0.750
Se2 Se 0.000 0.358 0.557
# - N(E_F): 21.7 states/eV per cell
# - ΔE_f (raw): -860 meV per atom
# - Calculated volume: 451 Å³/cell
# - DFT total energy: -7.04 eV/atom

Record 9
# U6MnSe12, relaxed, DFT PBE
data_U6MnSe12
_cell_length_a 12.5323
_cell_length_b 12.5323
_cell_length_c 11.3163
_cell_angle_alpha 90.00
_cell_angle_beta 90.00
_cell_angle_gamma 120.00
_space_group_name_H-M_alt 'R -3'
_space_group_IT_number 148
_space_group_name_Hall '-R 3'
loop_
_atom_site_label
_atom_site_type_symbol
_atom_site_fract_x
_atom_site_fract_y
_atom_site_fract_z
U1 U 0.0540 0.7782 0.1476
Mn1 Mn 0.0000 0.0000 0.5000
Se1 Se 0.0351 0.8202 0.8912
Se2 Se 0.0504 0.8490 0.3873
# - N(E_F): 125.2 states/eV per cell
# - ΔE_f (raw): -1036 meV per atom
# - Calculated volume: 1539 Å³/cell
# - DFT total energy: -7.28 eV/atom

Record 10
# UMn2Se6, relaxed, DFT PBE
data_UMn2Se6
_cell_length_a 14.579
_cell_length_b 3.754
_cell_length_c 9.058
_cell_angle_alpha 90.00
_cell_angle_beta 110.21
_cell_angle_gamma 90.00
_space_group_name_H-M_alt 'C 1 2/m 1'
_space_group_IT_number 12
_space_group_name_Hall '-C 2y'
loop_
_atom_site_label
_atom_site_type_symbol
_atom_site_fract_x
_atom_site_fract_y
_atom_site_fract_z
U1 U 0.000 0.000 0.000
Mn1 Mn 0.169 0.500 0.338
Se1 Se 0.018 0.500 0.784
Se2 Se 0.153 0.000 0.516
Se3 Se 0.197 0.000 0.165
# - N(E_F): 15.8 states/eV per cell
# - ΔE_f (raw): -658 meV per atom
# - Calculated volume: 465 Å³/cell
# - DFT total energy: -6.27 eV/atom

Record 11
# UMn4Se8, relaxed, DFT PBE
data_UMn4Se8
_cell_length_a 7.4908
_cell_length_b 7.4908
_cell_length_c 18.9667
_cell_angle_alpha 90.00
_cell_angle_beta 90.00
_cell_angle_gamma 120.00
_space_group_name_H-M_alt 'R -3 m'
_space_group_IT_number 166
_space_group_name_Hall '-R 3 2"'
loop_
_atom_site_label
_atom_site_type_symbol
_atom_site_fract_x
_atom_site_fract_y
_atom_site_fract_z
U1 U 0.0000 0.0000 0.0000
Mn1 Mn 0.0000 0.0000 0.5000
Mn2 Mn 0.0000 0.5000 0.5000
Se1 Se 0.0000 0.0000 0.2372
Se2 Se 0.0046 0.5023 0.2445
# - N(E_F): 31.8 states/eV per cell
# - ΔE_f (raw): -580 meV per atom
# - Calculated volume: 922 Å³/cell
# - DFT total energy: -6.41 eV/atom

Record 12
# UMn3Se6, relaxed, DFT PBE
data_UMn3Se6
_cell_length_a 10.887
_cell_length_b 3.906
_cell_length_c 10.935
_cell_angle_alpha 90.00
_cell_angle_beta 110.19
_cell_angle_gamma 90.00
_space_group_name_H-M_alt 'P 1 21/m 1'
_space_group_IT_number 11
_space_group_name_Hall '-P 2yb'
loop_
_atom_site_label
_atom_site_type_symbol
_atom_site_fract_x
_atom_site_fract_y
_atom_site_fract_z
U1 U 0.058 0.250 0.204
Mn1 Mn 0.169 0.250 0.586
Mn2 Mn 0.335 0.750 0.991
Mn3 Mn 0.439 0.250 0.341
Se1 Se 0.072 0.750 0.410
Se2 Se 0.113 0.250 0.958
Se3 Se 0.196 0.750 0.745
Se4 Se 0.266 0.750 0.223
Se5 Se 0.396 0.250 0.561
Se6 Se 0.472 0.250 0.115
# - N(E_F): 13.4 states/eV per cell
# - ΔE_f (raw): -608 meV per atom
# - Calculated volume: 437 Å³/cell
# - DFT total energy: -6.58 eV/atom

Record 13
# UMnSe2, relaxed, DFT PBE
data_UMnSe2
_cell_length_a 3.4497
_cell_length_b 3.4497
_cell_length_c 26.2885
_cell_angle_alpha 90.00
_cell_angle_beta 90.00
_cell_angle_gamma 120.00
_space_group_name_H-M_alt 'R -3 m'
_space_group_IT_number 166
_space_group_name_Hall '-R 3 2"'
loop_
_atom_site_label
_atom_site_type_symbol
_atom_site_fract_x
_atom_site_fract_y
_atom_site_fract_z
U1 U 0.0000 0.0000 0.0000
Mn1 Mn 0.0000 0.0000 0.5000
Se1 Se 0.0000 0.0000 0.1098
# - N(E_F): 21.5 states/eV per cell
# - ΔE_f (raw): -121 meV per atom
# - Calculated volume: 271 Å³/cell
# - DFT total energy: -6.98 eV/atom

Record 14
# U2MnSe6, relaxed, DFT PBE
data_U2MnSe6
_cell_length_a 6.245
_cell_length_b 7.342
_cell_length_c 10.980
_cell_angle_alpha 90.00
_cell_angle_beta 124.41
_cell_angle_gamma 90.00
_space_group_name_H-M_alt 'P 1 21/c 1'
_space_group_IT_number 14
_space_group_name_Hall '-P 2ybc'
loop_
_atom_site_label
_atom_site_type_symbol
_atom_site_fract_x
_atom_site_fract_y
_atom_site_fract_z
U1 U 0.187 0.127 0.246
Mn1 Mn 0.000 0.000 0.500
Se1 Se 0.100 0.182 0.943
Se2 Se 0.285 0.670 0.944
Se3 Se 0.398 0.035 0.756
# - N(E_F): 26.4 states/eV per cell
# - ΔE_f (raw): -912 meV per atom
# - Calculated volume: 415 Å³/cell
# - DFT total energy: -6.76 eV/atom

Record 15
# MnV4Se8, relaxed, DFT PBE
data_MnV4Se8
_cell_length_a 10.318
_cell_length_b 10.318
_cell_length_c 10.318
_cell_angle_alpha 90.00
_cell_angle_beta 90.00
_cell_angle_gamma 90.00
_space_group_name_H-M_alt 'F -4 3 m'
_space_group_IT_number 216
_space_group_name_Hall 'F -4 2 3'
loop_
_atom_site_label
_atom_site_type_symbol
_atom_site_fract_x
_atom_site_fract_y
_atom_site_fract_z
Mn1 Mn 0.000 0.000 0.000
V1 V 0.108 0.108 0.608
Se1 Se 0.129 0.129 0.371
Se2 Se 0.137 0.137 0.863
# - N(E_F): 6.1 states/eV per cell
# - ΔE_f (raw): -681 meV per atom
# - Calculated volume: 1099 Å³/cell
# - DFT total energy: -6.34 eV/atom

Record 16
# MnV3Se6, relaxed, DFT PBE
data_MnV3Se6
_cell_length_a 10.6593
_cell_length_b 10.6593
_cell_length_c 12.9389
_cell_angle_alpha 90.00
_cell_angle_beta 90.00
_cell_angle_gamma 120.00
_space_group_name_H-M_alt 'R -3'
_space_group_IT_number 148
_space_group_name_Hall '-R 3'
loop_
_atom_site_label
_atom_site_type_symbol
_atom_site_fract_x
_atom_site_fract_y
_atom_site_fract_z
Mn1 Mn 0.0000 0.0000 0.0000
Mn2 Mn 0.0000 0.0000 0.5000
V1 V 0.0570 0.6095 0.3678
Se1 Se 0.0213 0.8094 0.8935
Se2 Se 0.0312 0.8370 0.3738
# - N(E_F): 43.9 states/eV per cell
# - ΔE_f (raw): -522 meV per atom
# - Calculated volume: 1273 Å³/cell
# - DFT total energy: -6.27 eV/atom

Record 17
# Mn2VSe4, relaxed, DFT PBE
data_Mn2VSe4
_cell_length_a 3.6945
_cell_length_b 3.6945
_cell_length_c 38.0141
_cell_angle_alpha 90.00
_cell_angle_beta 90.00
_cell_angle_gamma 120.00
_space_group_name_H-M_alt 'R -3 m'
_space_group_IT_number 166
_space_group_name_Hall '-R 3 2"'
loop_
_atom_site_label
_atom_site_type_symbol
_atom_site_fract_x
_atom_site_fract_y
_atom_site_fract_z
Mn1 Mn 0.0000 0.0000 0.0775
V1 V 0.0000 0.0000 0.5000
Se1 Se 0.0000 0.0000 0.2069
Se2 Se 0.0000 0.0000 0.3774
# - N(E_F): 17.5 states/eV per cell
# - ΔE_f (raw): -411 meV per atom
# - Calculated volume: 449 Å³/cell
# - DFT total energy: -6.32 eV/atom